NaZn2 after structural relaxation. Source: OQMD, functional PBE-GGA.

Calculated values
Its total energy is -0.0920 Ry per atom. The symmetry is P2_1/m.

```
data_NaZn2
_cell_length_a 7.770
_cell_length_b 4.539
_cell_length_c 12.708
_cell_angle_alpha 90.00
_cell_angle_beta 100.61
_cell_angle_gamma 90.00
_symmetry_space_group_name_H-M 'P 1'
_symmetry_Int_Tables_number 1
loop_
_symmetry_equiv_pos_as_xyz
'x,y,z'
loop_
_atom_site_label
_atom_site_type_symbol
_atom_site_fract_x
_atom_site_fract_y
_atom_site_fract_z
_atom_site_occupancy
Na1 Na 0.111 0.250 0.225 1
Na2 Na 0.194 0.250 0.782 1
Na3 Na 0.213 0.750 0.395 1
Na4 Na 0.332 0.750 0.156 1
Na5 Na 0.668 0.250 0.844 1
Na6 Na 0.787 0.250 0.605 1
Na7 Na 0.806 0.750 0.218 1
Na8 Na 0.889 0.750 0.775 1
Zn1 Zn 0.073 0.250 0.985 1
Zn2 Zn 0.104 0.250 0.514 1
Zn3 Zn 0.175 0.750 0.626 1
Zn4 Zn 0.237 0.750 0.932 1
Zn5 Zn 0.412 0.250 0.627 1
Zn6 Zn 0.420 0.250 0.026 1
Zn7 Zn 0.453 0.750 0.764 1
Zn8 Zn 0.456 0.250 0.428 1
Zn9 Zn 0.544 0.750 0.572 1
Zn10 Zn 0.547 0.250 0.236 1
Zn11 Zn 0.580 0.750 0.974 1
Zn12 Zn 0.588 0.750 0.373 1
Zn13 Zn 0.763 0.250 0.068 1
Zn14 Zn 0.825 0.250 0.374 1
Zn15 Zn 0.896 0.750 0.486 1
Zn16 Zn 0.927 0.750 0.015 1
```

Sm2HoAl7Cu2 after structural relaxation. Source: OQMD, functional PBE-GGA.

Calculated values
Its total energy is -0.3269 Ry per atom. The symmetry is R-3m.

```
data_Sm2HoAl7Cu2
_cell_length_a 9.120
_cell_length_b 9.120
_cell_length_c 9.120
_cell_angle_alpha 35.32
_cell_angle_beta 35.32
_cell_angle_gamma 35.32
_symmetry_space_group_name_H-M 'P 1'
_symmetry_Int_Tables_number 1
loop_
_symmetry_equiv_pos_as_xyz
'x,y,z'
loop_
_atom_site_label
_atom_site_type_symbol
_atom_site_fract_x
_atom_site_fract_y
_atom_site_fract_z
_atom_site_occupancy
Sm1 Sm 0.142 0.142 0.142 1
Sm2 Sm 0.858 0.858 0.858 1
Ho1 Ho 0.000 0.000 0.000 1
Al1 Al 0.072 0.581 0.581 1
Al2 Al 0.419 0.419 0.928 1
Al3 Al 0.419 0.928 0.419 1
Al4 Al 0.500 0.500 0.500 1
Al5 Al 0.581 0.072 0.581 1
Al6 Al 0.581 0.581 0.072 1
Al7 Al 0.928 0.419 0.419 1
Cu1 Cu 0.335 0.335 0.335 1
Cu2 Cu 0.665 0.665 0.665 1
```

PmPrOs after structural relaxation. Source: OQMD, functional PBE-GGA.

Calculated values
The distance to the lowest polymorph of the same formula comes out at 0.000 eV per atom. The symmetry is F-43m.

```
data_PmPrOs
_cell_length_a 6.826
_cell_length_b 6.826
_cell_length_c 6.826
_cell_angle_alpha 90.00
_cell_angle_beta 90.00
_cell_angle_gamma 90.00
_symmetry_space_group_name_H-M 'P 1'
_symmetry_Int_Tables_number 1
loop_
_symmetry_equiv_pos_as_xyz
'x,y,z'
loop_
_atom_site_label
_atom_site_type_symbol
_atom_site_fract_x
_atom_site_fract_y
_atom_site_fract_z
_atom_site_occupancy
Pm1 Pm 0.000 0.000 0.000 1
Pm2 Pm 0.000 0.500 0.500 1
Pm3 Pm 0.500 0.000 0.500 1
Pm4 Pm 0.500 0.500 0.000 1
Pr1 Pr 0.250 0.250 0.250 1
Pr2 Pr 0.250 0.750 0.750 1
Pr3 Pr 0.750 0.250 0.750 1
Pr4 Pr 0.750 0.750 0.250 1
Os1 Os 0.250 0.250 0.750 1
Os2 Os 0.250 0.750 0.250 1
Os3 Os 0.750 0.250 0.250 1
Os4 Os 0.750 0.750 0.750 1
```

AlTcHg2 after structural relaxation. Source: OQMD, functional PBE-GGA.

Calculated values
Its total energy is -0.2304 Ry per atom. The symmetry is F-43m.

```
data_AlTcHg2
_cell_length_a 6.603
_cell_length_b 6.603
_cell_length_c 6.603
_cell_angle_alpha 90.00
_cell_angle_beta 90.00
_cell_angle_gamma 90.00
_symmetry_space_group_name_H-M 'P 1'
_symmetry_Int_Tables_number 1
loop_
_symmetry_equiv_pos_as_xyz
'x,y,z'
loop_
_atom_site_label
_atom_site_type_symbol
_atom_site_fract_x
_atom_site_fract_y
_atom_site_fract_z
_atom_site_occupancy
Al1 Al 0.000 0.000 0.000 1
Al2 Al 0.000 0.500 0.500 1
Al3 Al 0.500 0.000 0.500 1
Al4 Al 0.500 0.500 0.000 1
Tc1 Tc 0.250 0.250 0.250 1
Tc2 Tc 0.250 0.750 0.750 1
Tc3 Tc 0.750 0.250 0.750 1
Tc4 Tc 0.750 0.750 0.250 1
Hg1 Hg 0.000 0.000 0.500 1
Hg2 Hg 0.000 0.500 0.000 1
Hg3 Hg 0.250 0.250 0.750 1
Hg4 Hg 0.250 0.750 0.250 1
Hg5 Hg 0.500 0.000 0.000 1
Hg6 Hg 0.500 0.500 0.500 1
Hg7 Hg 0.750 0.250 0.250 1
Hg8 Hg 0.750 0.750 0.750 1
```